Material: BaIn2HgBr8
Method: DFT, PBE
State: relaxed

The structure in CIF format:
```
data_BaIn2HgBr8
_chemical_formula_sum 'Ba1 In2 Hg1 Br8'
_space_group_name_H-M_alt 'P 1'
_space_group_IT_number 1
_cell_length_a 11.5537
_cell_length_b 11.5537
_cell_length_c 11.5537
_cell_angle_alpha 37.62
_cell_angle_beta 37.62
_cell_angle_gamma 37.62
loop_
_space_group_symop_operation_xyz
'x,y,z'
loop_
_atom_site_label
_atom_site_type_symbol
_atom_site_fract_x
_atom_site_fract_y
_atom_site_fract_z
_atom_site_occupancy
Ba1 Ba 0.0000 0.0000 0.0000 1
In1 In 0.2441 0.2441 0.2441 1
In2 In 0.7559 0.7559 0.7559 1
Hg1 Hg 0.5000 0.5000 0.5000 1
Br1 Br 0.0585 0.6943 0.4214 1
Br2 Br 0.1671 0.1671 0.1671 1
Br3 Br 0.3057 0.5786 0.9415 1
Br4 Br 0.4214 0.0585 0.6943 1
Br5 Br 0.5786 0.9415 0.3057 1
Br6 Br 0.6943 0.4214 0.0585 1
Br7 Br 0.8329 0.8329 0.8329 1
Br8 Br 0.9415 0.3057 0.5786 1
```

Energy relative to the elements, uncorrected   -12.6 eV/f.u.
Space-group type   R-3

***

Material: EuScCu
Method: DFT, PBE
State: relaxed

The structure in CIF format:
```
data_EuScCu
_chemical_formula_sum 'Eu1 Sc1 Cu1'
_space_group_name_H-M_alt 'P 1'
_space_group_IT_number 1
_cell_length_a 6.5721
_cell_length_b 6.5721
_cell_length_c 6.5721
_cell_angle_alpha 149.46
_cell_angle_beta 149.46
_cell_angle_gamma 43.73
loop_
_space_group_symop_operation_xyz
'x,y,z'
loop_
_atom_site_label
_atom_site_type_symbol
_atom_site_fract_x
_atom_site_fract_y
_atom_site_fract_z
_atom_site_occupancy
Eu1 Eu 0.0000 0.0000 0.0000 1
Sc1 Sc 0.2731 0.2731 0.0000 1
Cu1 Cu 0.6708 0.6708 0.0000 1
```

Formation energy from the elements   -0.054 eV per atom
Space-group type   I4mm

***

| no. | final energy (eV per atom) |
| --- | --- |
| 1 | -2.8047 |
| 2 | -6.9547 |